! MnVP2O8F2 (meta-GGA SCAN, PBEsol geometry); values from VASP
&SYSTEM
  ibrav = 0, nat = 14, ntyp = 5
/
ATOMIC_SPECIES
Mn 54.94 Mn.upf
V 50.94 V.upf
P 30.97 P.upf
O 16.00 O.upf
F 19.00 F.upf
CELL_PARAMETERS angstrom
5.066 0.000 0.000
-0.287 5.066 0.000
-2.031 -2.503 6.467
ATOMIC_POSITIONS crystal
Mn 0.000 0.000 0.000
V 0.500 0.500 0.500
P 0.079 0.376 0.749
P 0.921 0.624 0.251
O 0.148 0.139 0.832
O 0.156 0.669 0.920
O 0.235 0.683 0.379
O 0.249 0.364 0.599
O 0.751 0.636 0.401
O 0.765 0.317 0.621
O 0.844 0.331 0.080
O 0.852 0.861 0.168
F 0.376 0.189 0.262
F 0.624 0.811 0.738
! Final energy = -10.595 eV/atom
! Total magnetic moment = 4.00 μB/f.u.
! Raw formation energy = -2.49 eV per atom